1.
This record from Alexandria via LeMat-Bulk describes a geometry-optimized Hf2BiSe structure. The functional is PBE.

It has space group P2_1/c (No. 14), with a = 7.756 Å, b = 6.925 Å, c = 6.913 Å, α = 90.00°, β = 90.38° and γ = 90.00°. The inequivalent atoms are Hf at (0.098, 0.192, 0.497), Hf at (0.324, 0.697, 0.007), Bi at (0.385, 0.094, 0.211) and Se at (0.117, 0.569, 0.295).

Its energy above the most stable polymorph in this dataset is 0 meV per atom. Its uncorrected formation energy is -2.27 eV per formula unit.

---

2.
This record from Alexandria via LeMat-Bulk describes a geometry-optimized La3Ho4Tm4 structure. The functional is PBE.

It has space group Amm2 (No. 38), with a = 10.603 Å, b = 5.708 Å, c = 12.083 Å, α = 90.00°, β = 90.00° and γ = 90.00°. The inequivalent atoms are La at (0.000, 0.000, 0.000), La at (0.289, 0.000, 0.156), Ho at (0.000, 0.000, 0.700), Ho at (0.217, 0.000, 0.495), Ho at (0.500, 0.000, 0.636), Tm at (0.000, 0.000, 0.305), Tm at (0.300, 0.000, 0.852) and Tm at (0.500, 0.000, 0.363).

Its energy above the most stable polymorph in this dataset is 128 meV per atom. For the energy of formation, the calculation gives 0.161 eV/atom.

---

3.
This record from Alexandria via LeMat-Bulk describes a geometry-optimized Zr2ScPb structure. The functional is PBE.

It has space group Cmmm (No. 65), with a = 6.225 Å, b = 9.197 Å, c = 3.263 Å, α = 90.00°, β = 90.00° and γ = 90.00°. The inequivalent atoms are Zr at (0.250, 0.250, 0.000), Sc at (0.000, 0.000, 0.500) and Pb at (0.000, 0.500, 0.500).

For the energy of formation, the calculation gives -0.118 eV/atom.

---

4.
This record from Alexandria via LeMat-Bulk describes a geometry-optimized ThPa2Tc structure. The functional is PBE.

It has space group P4/mmm (No. 123), with a = 3.488 Å, b = 3.488 Å, c = 7.967 Å, α = 90.00°, β = 90.00° and γ = 90.00°. The inequivalent atoms are Th at (0.000, 0.000, 0.000), Pa at (0.500, 0.500, 0.291) and Tc at (0.000, 0.000, 0.500).

Its energy above the most stable polymorph in this dataset is 0 meV per atom. For the energy of formation, the calculation gives -0.045 eV/atom.

---

| no. | final energy (Ry per atom) |
| --- | --- |
| 1 | -0.543 |
| 2 | -0.329 |
| 3 | -0.507 |
| 4 | -0.679 |